(1)
## MgSi2 (GGA-PBE)

Data for a geometry-optimized MgSi2 structure.

density of states at the Fermi level: 1.49 states/eV/cell
DFT total energy: -3.986 eV per atom
V: 48.7 Å³ per cell
offset from the most stable computed form: 40 kJ/mol of formula units
energy relative to the elements, uncorrected: 0.1605 eV per atom

a = 4.466 Å, b = 4.466 Å, c = 2.819 Å
α = 90.00°, β = 90.00°, γ = 120.04°
Sites, in units of the cell vectors:
Si 0.833 0.167 0.500
Si 0.167 0.833 0.500
Mg 0.500 0.500 0.000

***

(2)
## Mg6Si5 (GGA-PBE)

Data for a geometry-optimized Mg6Si5 structure.

density of states at the Fermi level: 7.21 states/eV/cell
DFT total energy: -3.288 eV per atom
V: 417.1 Å³ per cell
offset from the most stable computed form: 53 kJ/mol of formula units
energy relative to the elements, uncorrected: 0.0464 eV per atom

a = 5.359 Å, b = 5.548 Å, c = 14.578 Å
α = 80.69°, β = 83.06°, γ = 78.27°
Sites, in units of the cell vectors:
Mg 0.511 0.154 0.935
Mg 0.512 0.772 0.537
Mg 0.815 0.949 0.326
Mg 0.028 0.750 0.668
Mg 0.503 0.051 0.720
Mg 0.251 0.117 0.171
Mg 0.291 0.251 0.378
Mg 0.806 0.228 0.508
Mg 0.066 0.884 0.876
Mg 0.806 0.847 0.111
Mg 0.947 0.362 0.000
Mg 0.371 0.638 0.046
Si 0.532 0.541 0.732
Si 0.042 0.702 0.485
Si 0.686 0.320 0.175
Si 0.632 0.679 0.871
Si 0.276 0.298 0.561
Si 0.786 0.460 0.313
Si 0.363 0.762 0.348
Si 0.955 0.238 0.698
Si 0.142 0.390 0.816
Si 0.176 0.610 0.230

***

(3)
## MgSi2 (GGA-PBE)

Data for a geometry-optimized MgSi2 structure.

density of states at the Fermi level: 3.68 states/eV/cell
DFT total energy: -4.034 eV per atom
V: 459.3 Å³ per cell
offset from the most stable computed form: 26 kJ/mol of formula units
energy relative to the elements, uncorrected: 0.1132 eV per atom

a = 6.323 Å, b = 6.457 Å, c = 11.256 Å
α = 88.98°, β = 90.10°, γ = 88.78°
Sites, in units of the cell vectors:
Mg 0.127 0.866 0.825
Mg 0.941 0.024 0.350
Mg 0.291 0.508 0.652
Mg 0.647 0.345 0.163
Mg 0.815 0.642 0.637
Mg 0.118 0.438 0.175
Mg 0.626 0.990 0.811
Mg 0.408 0.150 0.367
Si 0.956 0.264 0.892
Si 0.751 0.432 0.402
Si 0.110 0.922 0.579
Si 0.446 0.732 0.114
Si 0.972 0.220 0.679
Si 0.324 0.077 0.115
Si 0.800 0.604 0.895
Si 0.608 0.778 0.398
Si 0.487 0.927 0.585
Si 0.826 0.725 0.095
Si 0.331 0.238 0.919
Si 0.129 0.444 0.422
Si 0.424 0.589 0.913
Si 0.265 0.742 0.313
Si 0.630 0.272 0.589
Si 0.948 0.069 0.081

***

(4)
## Mg5Si9 (GGA-PBE)

Data for a geometry-optimized Mg5Si9 structure.

density of states at the Fermi level: 8.34 states/eV/cell
DFT total energy: -3.933 eV per atom
V: 507.6 Å³ per cell
offset from the most stable computed form: 34 kJ/mol of formula units
energy relative to the elements, uncorrected: 0.1230 eV per atom

a = 7.508 Å, b = 7.739 Å, c = 10.522 Å
α = 104.45°, β = 90.33°, γ = 119.78°
Sites, in units of the cell vectors:
Mg 0.979 0.579 0.327
Mg 0.934 0.213 0.601
Mg 0.504 0.918 0.423
Mg 0.401 0.378 0.629
Mg 0.491 0.443 0.331
Mg 0.775 0.774 0.596
Mg 0.837 0.196 0.953
Mg 0.729 0.518 0.083
Mg 0.357 0.981 0.945
Mg 0.596 0.816 0.086
Si 0.540 0.752 0.817
Si 0.307 0.408 0.079
Si 0.180 0.775 0.592
Si 0.919 0.175 0.306
Si 0.549 0.985 0.695
Si 0.286 0.962 0.228
Si 0.167 0.532 0.840
Si 0.642 0.192 0.196
Si 0.223 0.225 0.843
Si 0.165 0.998 0.459
Si 0.084 0.078 0.126
Si 0.953 0.903 0.885
Si 0.899 0.574 0.740
Si 0.816 0.842 0.344
Si 0.141 0.610 0.078
Si 0.593 0.309 0.823
Si 0.724 0.380 0.509
Si 0.209 0.484 0.466

***

(5)
## Mg3Si2 (GGA-PBE)

Data for a geometry-optimized Mg3Si2 structure.

density of states at the Fermi level: 6.09 states/eV/cell
DFT total energy: -3.119 eV per atom
V: 388.1 Å³ per cell
energy relative to the elements, uncorrected: 0.0069 eV per atom

a = 5.241 Å, b = 5.325 Å, c = 14.244 Å
α = 82.30°, β = 88.43°, γ = 80.17°
Sites, in units of the cell vectors:
Mg 0.577 0.445 0.757
Mg 0.153 0.031 0.759
Mg 0.681 0.877 0.872
Mg 0.048 0.602 0.631
Mg 0.952 0.398 0.369
Mg 0.789 0.291 0.001
Mg 0.847 0.969 0.241
Mg 0.423 0.555 0.243
Mg 0.765 0.892 0.464
Mg 0.319 0.123 0.128
Mg 0.211 0.709 0.999
Mg 0.235 0.108 0.536
Si 0.304 0.220 0.932
Si 0.702 0.368 0.541
Si 0.059 0.529 0.819
Si 0.639 0.009 0.665
Si 0.298 0.632 0.459
Si 0.696 0.780 0.068
Si 0.361 0.991 0.335
Si 0.941 0.471 0.181

***

(6)
## MgSi2 (GGA-PBE)

Data for a geometry-optimized MgSi2 structure.

density of states at the Fermi level: 4.03 states/eV/cell
DFT total energy: -3.963 eV per atom
V: 206.4 Å³ per cell
offset from the most stable computed form: 46 kJ/mol of formula units
energy relative to the elements, uncorrected: 0.1839 eV per atom

a = 3.452 Å, b = 7.026 Å, c = 9.143 Å
α = 68.60°, β = 90.00°, γ = 90.00°
Sites, in units of the cell vectors:
Mg 0.500 0.917 0.285
Mg 0.000 0.690 0.860
Mg 0.000 0.310 0.140
Mg 0.500 0.083 0.715
Si 0.000 0.000 0.500
Si 0.500 0.306 0.895
Si 0.500 0.694 0.105
Si 0.500 0.274 0.386
Si 0.000 0.455 0.661
Si 0.000 0.545 0.339
Si 0.000 0.000 0.000
Si 0.500 0.726 0.614